(1)
This record from Alexandria via LeMat-Bulk describes a PBEsol-optimized structure of Te3IrAu. The functional is SCAN.

Summary:
E_form (uncorrected) ... 1.499 eV/atom
SG ... Pm-3m (221)
Volume ... 28.09 A^3/atom

a b c (Å): 5.198 5.198 5.198
angles (deg): 90.00 90.00 90.00
Atoms (fractional coordinates):
Te (0.000, 0.500, 0.000)
Te (0.000, 0.000, 0.500)
Te (0.500, 0.000, 0.000)
Ir (0.500, 0.500, 0.500)
Au (0.000, 0.000, 0.000)



(2)
This record from Alexandria via LeMat-Bulk describes a PBEsol-optimized structure of Ti2Ir2Au. The functional is SCAN.

Summary:
DFT formation energy ... -81.1 kJ per mole of atoms
SG ... P4/mbm (127)
Volume ... 15.55 A^3/atom

a b c (Å): 2.921 7.296 7.296
angles (deg): 90.00 90.00 90.00
Atoms (fractional coordinates):
Ir (0.000, 0.363, 0.863)
Ir (0.000, 0.863, 0.637)
Ir (0.000, 0.637, 0.137)
Ir (0.000, 0.137, 0.363)
Au (0.000, 0.000, 0.000)
Au (0.000, 0.500, 0.500)
Ti (0.500, 0.160, 0.660)
Ti (0.500, 0.660, 0.840)
Ti (0.500, 0.840, 0.340)
Ti (0.500, 0.340, 0.160)



(3)
This record from Alexandria via LeMat-Bulk describes a PBEsol-optimized structure of Tl2IrAu. The functional is SCAN.

Summary:
DFT formation energy ... 57.7 kJ per mole of atoms
SG ... Pmmm (47)
Energy above the lowest structure with this stoichiometry ... 2 meV per atom
Volume ... 19.60 A^3/atom

a b c (Å): 3.280 4.531 5.275
angles (deg): 90.00 90.00 90.00
Atoms (fractional coordinates):
Au (0.500, 0.500, 0.000)
Ir (0.000, 0.500, 0.500)
Tl (0.000, 0.000, 0.000)
Tl (0.500, 0.000, 0.500)



(4)
This record from Alexandria via LeMat-Bulk describes a PBEsol-optimized structure of TlIrAu2. The functional is SCAN.

Summary:
DFT formation energy ... 34.2 kJ per mole of atoms
SG ... P4/mmm (123)
Energy above the lowest structure with this stoichiometry ... 0 meV per atom
Volume ... 17.22 A^3/atom

a b c (Å): 4.029 4.029 4.244
angles (deg): 90.00 90.00 90.00
Atoms (fractional coordinates):
Au (0.000, 0.500, 0.000)
Au (0.500, 0.000, 0.000)
Ir (0.500, 0.500, 0.500)
Tl (0.000, 0.000, 0.500)



(5)
This record from Alexandria via LeMat-Bulk describes a PBEsol-optimized structure of Tl2IrAu. The functional is SCAN.

Summary:
DFT formation energy ... 57.5 kJ per mole of atoms
SG ... Fm-3m (225)
Energy above the lowest structure with this stoichiometry ... 0 meV per atom
Volume ... 19.08 A^3/atom

a b c (Å): 4.761 4.761 4.761
angles (deg): 60.00 60.00 60.00
Atoms (fractional coordinates):
Au (0.000, 0.000, 0.000)
Ir (0.500, 0.500, 0.500)
Tl (0.250, 0.250, 0.250)
Tl (0.750, 0.750, 0.750)



(6)
This record from Alexandria via LeMat-Bulk describes a PBEsol-optimized structure of TlIrAu2. The functional is SCAN.

Summary:
DFT formation energy ... 52.5 kJ per mole of atoms
SG ... Fm-3m (225)
Energy above the lowest structure with this stoichiometry ... 190 meV per atom
Volume ... 17.40 A^3/atom

a b c (Å): 4.617 4.617 4.617
angles (deg): 60.00 60.00 60.00
Atoms (fractional coordinates):
Au (0.250, 0.250, 0.250)
Au (0.750, 0.750, 0.750)
Ir (0.000, 0.000, 0.000)
Tl (0.500, 0.500, 0.500)



(7)
This record from Alexandria via LeMat-Bulk describes a PBEsol-optimized structure of IrWAu2. The functional is SCAN.

Summary:
DFT formation energy ... 49.6 kJ per mole of atoms
SG ... Cmmm (65)
Energy above the lowest structure with this stoichiometry ... 455 meV per atom
Volume ... 15.97 A^3/atom

a b c (Å): 2.728 2.728 9.608
angles (deg): 90.00 90.00 116.72
Atoms (fractional coordinates):
Au (0.000, 0.000, 0.251)
Au (0.000, 0.000, 0.749)
Ir (0.500, 0.500, 0.500)
W (0.500, 0.500, 0.000)



(8)
This record from Alexandria via LeMat-Bulk describes a PBEsol-optimized structure of Ir2WAu. The functional is SCAN.

Summary:
DFT formation energy ... -1.2 kJ per mole of atoms
SG ... I4/mmm (139)
Energy above the lowest structure with this stoichiometry ... 0 meV per atom
Volume ... 14.94 A^3/atom

a b c (Å): 3.963 3.963 4.727
angles (deg): 114.78 114.78 90.00
Atoms (fractional coordinates):
Au (0.000, 0.000, 0.000)
Ir (0.250, 0.750, 0.500)
Ir (0.750, 0.250, 0.500)
W (0.500, 0.500, 0.000)



(9)
This record from Alexandria via LeMat-Bulk describes a PBEsol-optimized structure of Ir2WAu. The functional is SCAN.

Summary:
DFT formation energy ... 15.2 kJ per mole of atoms
SG ... P4/mmm (123)
Energy above the lowest structure with this stoichiometry ... 170 meV per atom
Volume ... 15.31 A^3/atom

a b c (Å): 3.293 3.293 5.649
angles (deg): 90.00 90.00 90.00
Atoms (fractional coordinates):
Au (0.500, 0.500, 0.500)
Ir (0.000, 0.000, 0.759)
Ir (0.000, 0.000, 0.241)
W (0.500, 0.500, 0.000)



(10)
This record from Alexandria via LeMat-Bulk describes a PBEsol-optimized structure of Ir2W2Au. The functional is SCAN.

Summary:
DFT formation energy ... 39.7 kJ per mole of atoms
SG ... I4/mmm (139)
Volume ... 17.17 A^3/atom

a b c (Å): 3.786 3.786 6.561
angles (deg): 106.77 106.77 90.00
Atoms (fractional coordinates):
Ir (0.250, 0.750, 0.500)
Ir (0.750, 0.250, 0.500)
Au (0.000, 0.000, 0.000)
W (0.393, 0.393, 0.787)
W (0.607, 0.607, 0.213)



(11)
This record from Alexandria via LeMat-Bulk describes a PBEsol-optimized structure of IrWAu2. The functional is SCAN.

Summary:
DFT formation energy ... 5.7 kJ per mole of atoms
SG ... R3m (160)
Energy above the lowest structure with this stoichiometry ... 0 meV per atom
Volume ... 15.86 A^3/atom

a b c (Å): 2.796 2.796 9.509
angles (deg): 81.55 81.55 60.00
Atoms (fractional coordinates):
Au (0.997, 0.997, 0.008)
Au (0.752, 0.752, 0.745)
Ir (0.505, 0.505, 0.485)
W (0.246, 0.246, 0.262)



(12)
This record from Alexandria via LeMat-Bulk describes a PBEsol-optimized structure of YIrAu4. The functional is SCAN.

Summary:
DFT formation energy ... -21.2 kJ per mole of atoms
SG ... F-43m (216)
Volume ... 18.20 A^3/atom

a b c (Å): 5.366 5.366 5.366
angles (deg): 60.00 60.00 60.00
Atoms (fractional coordinates):
Au (0.874, 0.375, 0.375)
Au (0.375, 0.375, 0.375)
Au (0.375, 0.375, 0.874)
Au (0.375, 0.874, 0.375)
Ir (0.750, 0.750, 0.750)
Y (0.000, 0.000, 0.000)



(13)
This record from Alexandria via LeMat-Bulk describes a PBEsol-optimized structure of Y3IrAu. The functional is SCAN.

Summary:
DFT formation energy ... -47.0 kJ per mole of atoms
SG ... Pm-3m (221)
Energy above the lowest structure with this stoichiometry ... 0 meV per atom
Volume ... 28.93 A^3/atom

a b c (Å): 5.249 5.249 5.249
angles (deg): 90.00 90.00 90.00
Atoms (fractional coordinates):
Y (0.000, 0.500, 0.000)
Y (0.000, 0.000, 0.500)
Y (0.500, 0.000, 0.000)
Ir (0.000, 0.000, 0.000)
Au (0.500, 0.500, 0.500)



(14)
This record from Alexandria via LeMat-Bulk describes a PBEsol-optimized structure of YIrAu2. The functional is SCAN.

Summary:
DFT formation energy ... -48.5 kJ per mole of atoms
SG ... Pmm2 (25)
Energy above the lowest structure with this stoichiometry ... 0 meV per atom
Volume ... 18.19 A^3/atom

a b c (Å): 3.274 3.830 5.802
angles (deg): 90.00 90.00 90.00
Atoms (fractional coordinates):
Au (0.500, 0.000, 0.016)
Au (0.000, 0.500, 0.250)
Ir (0.500, 0.000, 0.496)
Y (0.000, 0.500, 0.738)



(15)
This record from Alexandria via LeMat-Bulk describes a PBEsol-optimized structure of YIrAu2. The functional is SCAN.

Summary:
DFT formation energy ... -36.6 kJ per mole of atoms
SG ... P2/m (10)
Energy above the lowest structure with this stoichiometry ... 123 meV per atom
Volume ... 18.57 A^3/atom

a b c (Å): 3.130 4.632 5.294
angles (deg): 90.00 104.65 90.00
Atoms (fractional coordinates):
Au (0.641, 0.000, 0.767)
Au (0.359, 0.000, 0.233)
Ir (0.500, 0.500, 0.000)
Y (0.000, 0.500, 0.500)



(16)
This record from Alexandria via LeMat-Bulk describes a PBEsol-optimized structure of ZnIr2Au. The functional is SCAN.

Summary:
DFT formation energy ... 7.4 kJ per mole of atoms
SG ... Cm (8)
Volume ... 14.67 A^3/atom

a b c (Å): 2.791 4.705 4.764
angles (deg): 100.41 90.00 107.25
Atoms (fractional coordinates):
Au (0.753, 0.506, 0.274)
Ir (0.993, 0.986, 0.964)
Ir (0.249, 0.498, 0.777)
Zn (0.505, 0.010, 0.485)



(17)
This record from Alexandria via LeMat-Bulk describes a PBEsol-optimized structure of Zn2IrAu. The functional is SCAN.

Summary:
DFT formation energy ... -8.6 kJ per mole of atoms
SG ... Pmm2 (25)
Volume ... 14.59 A^3/atom

a b c (Å): 2.797 3.874 5.385
angles (deg): 90.00 90.00 90.00
Atoms (fractional coordinates):
Au (0.000, 0.000, 0.481)
Ir (0.500, 0.500, 0.783)
Zn (0.000, 0.000, 0.978)
Zn (0.500, 0.500, 0.258)



(18)
This record from Alexandria via LeMat-Bulk describes a PBEsol-optimized structure of ZnIr2Au. The functional is SCAN.

Summary:
DFT formation energy ... 14.1 kJ per mole of atoms
SG ... C2/m (12)
Volume ... 14.80 A^3/atom

a b c (Å): 2.727 4.672 5.370
angles (deg): 115.62 104.45 90.58
Atoms (fractional coordinates):
Au (0.000, 0.500, 0.000)
Ir (0.000, 0.000, 0.500)
Ir (0.500, 0.500, 0.500)
Zn (0.500, 0.000, 0.000)



(19)
This record from Alexandria via LeMat-Bulk describes a PBEsol-optimized structure of Zn2IrAu. The functional is SCAN.

Summary:
DFT formation energy ... -23.4 kJ per mole of atoms
SG ... Cmmm (65)
Volume ... 14.23 A^3/atom

a b c (Å): 2.981 4.401 4.401
angles (deg): 99.71 90.00 90.00
Atoms (fractional coordinates):
Zn (0.000, 0.500, 0.000)
Zn (0.000, 0.000, 0.500)
Ir (0.500, 0.500, 0.500)
Au (0.500, 0.000, 0.000)



(20)
This record from Alexandria via LeMat-Bulk describes a PBEsol-optimized structure of ZnIr2Au. The functional is SCAN.

Summary:
DFT formation energy ... 15.4 kJ per mole of atoms
SG ... Cmmm (65)
Volume ... 14.78 A^3/atom

a b c (Å): 2.719 2.719 9.165
angles (deg): 90.00 90.00 119.26
Atoms (fractional coordinates):
Au (0.500, 0.500, 0.000)
Ir (0.000, 0.000, 0.266)
Ir (0.000, 0.000, 0.734)
Zn (0.500, 0.500, 0.500)